Record 1
# RePt2

A relaxed RePt2 crystal (GGA-PBE, the Alexandria database).

abc: 6.315 6.315 6.315
angles: 154.69 154.69 36.10
Element x y z (fractional)
Re1 0.000 0.000 0.000
Pt1 0.342 0.342 0.000
Pt2 0.658 0.658 0.000

Output
DOS(E_F)	2.2	states/eV per cell
uncorrected energy	-25.0	eV/cell
total magnetization	0.0000	μB per atom
distance to the lowest polymorph of the same formula	0.000	eV per atom
formation enthalpy at 0 K	-147.2	meV per atom



Record 2
# Re3Pt

A relaxed Re3Pt crystal (GGA-PBE, the Alexandria database).

abc: 3.303 3.303 5.616
angles: 90.00 90.00 90.00
Element x y z (fractional)
Re1 0.000 0.000 0.000
Re2 0.500 0.500 0.244
Re3 0.500 0.500 0.756
Pt1 0.000 0.000 0.500

Output
DOS(E_F)	2.6	states/eV per cell
uncorrected energy	-42.4	eV/cell
total magnetization	0.0000	μB per atom
formation enthalpy at 0 K	255.7	meV per atom